K2InTc: relaxed, GGA-PBE.

Formation energy from the elements (eV per atom): 0.9398
Fermi-level density of states (states/eV per cell): 3.5

Cell and atoms, written as POSCAR:
```
K2InTc
1.0
3.049 0.000 0.000
0.000 6.019 0.000
-0.617 0.000 5.402
K In Tc
2 1 1
Cartesian
0.576 0.000 1.385
1.856 0.000 4.017
1.524 3.010 0.000
-0.308 3.010 2.701
```